# 1
# PrY3Ho12

An optimized crystal structure of PrY3Ho12 (GGA-PBE, Alexandria).

Values from the calculation:
Its space group is P4/mmm. Its energy relative to the elements is 0.0232 eV per atom.

Cell lengths 5.016, 5.016, 20.053 Å; angles 90.00, 90.00, 90.00 degrees
Fractional positions:
Ho 0.500 0.500 0.000
Ho 0.500 0.000 0.375
Ho 0.500 0.500 0.500
Ho 0.000 0.500 0.625
Ho 0.500 0.000 0.625
Ho 0.000 0.500 0.126
Ho 0.500 0.000 0.874
Ho 0.000 0.500 0.375
Ho 0.500 0.500 0.749
Ho 0.500 0.500 0.251
Ho 0.000 0.500 0.874
Ho 0.500 0.000 0.126
Y 0.000 0.000 0.251
Y 0.000 0.000 0.749
Y 0.000 0.000 0.500
Pr 0.000 0.000 0.000

---

# 2
# La2MgInOs

An optimized crystal structure of La2MgInOs (GGA-PBE, Alexandria).

Values from the calculation:
Its space group is P4/mmm. Its energy relative to the elements is -0.1135 eV per atom. The value obtained for the polymorph energy (0 for the lowest one) is 0.000 eV/atom.

Cell lengths 5.460, 5.460, 5.217 Å; angles 90.00, 90.00, 90.00 degrees
Fractional positions:
La 0.500 0.000 0.000
La 0.000 0.500 0.000
Mg 0.000 0.000 0.500
In 0.500 0.500 0.500
Os 0.000 0.000 0.000

---

# 3
# CaPtC

An optimized crystal structure of CaPtC (GGA-PBE, Alexandria).

Values from the calculation:
Its space group is C2/m. Its energy relative to the elements is -0.2628 eV per atom.

Cell lengths 5.232, 5.232, 5.336 Å; angles 90.77, 120.87, 117.58 degrees
Fractional positions:
Ca 0.745 0.374 0.120
Ca 0.255 0.626 0.880
C 0.939 0.920 0.859
C 0.061 0.080 0.141
Pt 0.000 0.000 0.500
Pt 0.500 0.500 0.500

---

# 4
# YHg3

An optimized crystal structure of YHg3 (GGA-PBE, Alexandria).

Values from the calculation:
Its space group is I4/mmm. Its energy relative to the elements is -0.3235 eV per atom.

Cell lengths 4.560, 4.560, 9.987 Å; angles 103.20, 103.20, 90.00 degrees
Fractional positions:
Hg 0.133 0.133 0.266
Hg 0.500 0.000 0.000
Hg 0.000 0.500 0.000
Hg 0.867 0.867 0.734
Hg 0.750 0.250 0.500
Hg 0.250 0.750 0.500
Y 0.374 0.374 0.748
Y 0.626 0.626 0.252

---

# 5
# Ti3O4F

An optimized crystal structure of Ti3O4F (GGA-PBE, Alexandria).

Values from the calculation:
Its space group is Cc. The calculation puts the formation energy from raw total energies at -2911 meV/atom.

Cell lengths 5.131, 5.776, 7.278 Å; angles 109.29, 90.00, 116.37 degrees
Site moments in Bohr magnetons follow the coordinates.
Fractional positions:
Ti 0.261 0.572 0.576  0.48
Ti 0.706 0.377 0.389  0.24
Ti 0.311 0.572 0.076  0.48
Ti 0.945 0.830 0.801  0.19
Ti 0.671 0.377 0.889  0.24
Ti 0.884 0.830 0.301  0.19
O 0.254 0.202 0.932  -0.01
O 0.948 0.202 0.432  -0.01
O 0.053 0.777 0.526  0.00
O 0.477 0.597 0.339  0.00
O 0.879 0.444 0.145  0.00
O 0.565 0.444 0.645  0.00
O 0.724 0.777 0.026  0.00
O 0.120 0.597 0.839  0.00
F 0.647 0.982 0.742  0.00
F 0.335 0.982 0.242  0.00

---

# 6
# NaOsF2

An optimized crystal structure of NaOsF2 (GGA-PBE, Alexandria).

Values from the calculation:
Its space group is R-3m. The calculation puts the formation energy from raw total energies at -1417 meV/atom. The value obtained for the polymorph energy (0 for the lowest one) is 0.000 eV/atom.

Cell lengths 7.149, 7.149, 7.149 Å; angles 22.68, 22.68, 22.68 degrees
Site moments in Bohr magnetons follow the coordinates.
Fractional positions:
Os 0.000 0.000 0.000  0.48
Na 0.500 0.500 0.500  0.00
F 0.098 0.098 0.098  0.01
F 0.902 0.902 0.902  0.01